A plane-wave DFT calculation with GGA-PBE was carried out for a geometry-optimized La2Sm5Tm structure.

Cell: 6.656 6.656 16.251 Å, 90.00 90.00 129.08°
Element x y z (fractional)
La: 0.219 0.781 0.630
La: 0.219 0.781 0.870
La: 0.781 0.219 0.130
La: 0.781 0.219 0.370
Sm: 0.080 0.920 0.091
Sm: 0.080 0.920 0.409
Sm: 0.384 0.616 0.052
Sm: 0.384 0.616 0.448
Sm: 0.463 0.537 0.750
Sm: 0.537 0.463 0.250
Sm: 0.616 0.384 0.552
Sm: 0.616 0.384 0.948
Sm: 0.920 0.080 0.591
Sm: 0.920 0.080 0.909
Tm: 0.258 0.742 0.250
Tm: 0.742 0.258 0.750

The total magnetization is 0.00 μB per atom. The value obtained for the raw total energy is -4.612 eV per atom.